(1)
# Cu2ReRu

An optimized crystal structure of Cu2ReRu (PBE-GGA, Alexandria).

Output
As for the relative energy among the computed polymorphs: 0.36 eV/f.u. As for the symmetry: Cm (8). The formation energy comes out at 0.223 eV/atom.

```
Cu2ReRu
1.0
8.780 0.000 0.000
0.000 2.682 0.000
-0.773 0.000 4.549
Cu Re Ru
4 2 2
Cartesian
0.000 0.000 0.000 Cu
2.015 1.341 0.941 Cu
4.390 1.341 0.000 Cu
6.405 0.000 0.941 Cu
1.629 0.000 3.231 Re
6.019 1.341 3.231 Re
3.979 0.000 2.276 Ru
8.369 1.341 2.276 Ru
```

(2)
# TaAgPd2

An optimized crystal structure of TaAgPd2 (PBE-GGA, Alexandria).

Output
As for the relative energy among the computed polymorphs: 0.60 eV/f.u. As for the symmetry: Fm-3m (225). The formation energy comes out at -0.102 eV/atom.

```
TaAgPd2
1.0
6.406 0.000 0.000
0.000 6.406 0.000
0.000 0.000 6.406
Ta Ag Pd
4 4 8
Cartesian
0.000 0.000 0.000 Ta
0.000 3.203 3.203 Ta
3.203 0.000 3.203 Ta
3.203 3.203 0.000 Ta
0.000 0.000 3.203 Ag
0.000 3.203 0.000 Ag
3.203 0.000 0.000 Ag
3.203 3.203 3.203 Ag
1.602 1.602 1.602 Pd
1.602 1.602 4.805 Pd
1.602 4.805 1.602 Pd
1.602 4.805 4.805 Pd
4.805 1.602 1.602 Pd
4.805 1.602 4.805 Pd
4.805 4.805 1.602 Pd
4.805 4.805 4.805 Pd
```

(3)
# Ca2VSi2

An optimized crystal structure of Ca2VSi2 (PBE-GGA, Alexandria).

Output
As for the symmetry: P4/mbm (127). The formation energy without anion corrections comes out at -0.22 eV/atom.

```
Ca2VSi2
1.0
6.928 0.000 0.000
0.000 6.928 0.000
0.000 0.000 4.526
Ca V Si
4 2 4
Cartesian
1.209 2.255 0.000 Ca
2.255 5.719 0.000 Ca
4.673 1.209 0.000 Ca
5.719 4.673 0.000 Ca
0.000 0.000 2.263 V
3.464 3.464 2.263 V
0.881 4.345 2.263 Si
2.583 0.881 2.263 Si
4.345 6.047 2.263 Si
6.047 2.583 2.263 Si
```

(4)
# Pr3NdSmEr

An optimized crystal structure of Pr3NdSmEr (PBE-GGA, Alexandria).

Output
As for the symmetry: Cmcm (63). The formation energy comes out at 0.016 eV/atom.

```
Pr3NdSmEr
1.0
2.578 -7.781 0.000
2.578 7.781 0.000
0.000 0.000 10.365
Pr Nd Sm Er
6 2 2 2
Cartesian
2.578 5.198 5.191 Pr
2.578 5.198 10.357 Pr
2.578 2.608 7.774 Pr
2.578 -2.608 2.591 Pr
2.578 -5.198 0.008 Pr
2.578 -5.198 5.175 Pr
2.578 7.750 7.774 Nd
2.578 -7.750 2.591 Nd
2.578 0.000 0.000 Sm
2.578 0.000 5.183 Sm
2.578 2.586 2.591 Er
2.578 -2.586 7.774 Er
```

(5)
# Cs3Pu2ZrS6

An optimized crystal structure of Cs3Pu2ZrS6 (PBE-GGA, Alexandria).

Output
As for the symmetry: C2/m (12). The formation energy without anion corrections comes out at -1.51 eV/atom.

```
Cs3Pu2ZrS6
1.0
3.522 -6.100 0.000
3.522 6.100 0.000
-2.349 0.000 8.043
Cs Pu Zr S
3 2 1 6
Cartesian
0.000 0.000 0.000 Cs
3.522 2.051 0.000 Cs
3.522 -2.051 0.000 Cs
2.348 4.068 4.021 Pu
2.348 -4.068 4.021 Pu
2.348 0.000 4.021 Zr
1.233 1.931 2.577 S
0.119 0.000 5.472 S
1.233 -1.931 2.577 S
3.463 1.931 5.465 S
4.578 0.000 2.570 S
3.463 -1.931 5.465 S
```

(6)
# NaSbPbI2

An optimized crystal structure of NaSbPbI2 (PBE-GGA, Alexandria).

Output
As for the relative energy among the computed polymorphs: 0.00 eV/f.u. As for the symmetry: P4/mmm (123). The formation energy without anion corrections comes out at -0.13 eV/atom.

```
NaSbPbI2
1.0
6.365 0.000 0.000
0.000 6.365 0.000
0.000 0.000 6.115
Na Sb Pb I
1 1 1 2
Cartesian
0.000 0.000 0.000 Na
3.182 3.182 0.000 Sb
3.182 3.182 3.058 Pb
0.000 3.182 3.058 I
3.182 0.000 3.058 I
```

(7)
# Ni2PtWBr

An optimized crystal structure of Ni2PtWBr (PBE-GGA, Alexandria).

Output
As for the symmetry: P4/mmm (123). The formation energy without anion corrections comes out at 1.50 eV/atom.

```
Ni2PtWBr
1.0
4.598 0.000 0.000
0.000 4.598 0.000
0.000 0.000 4.698
Ni Pt W Br
2 1 1 1
Cartesian
0.000 2.299 0.000 Ni
2.299 0.000 0.000 Ni
0.000 0.000 2.349 Pt
2.299 2.299 0.000 W
2.299 2.299 2.349 Br
```

(8)
# Sc2FeAs

An optimized crystal structure of Sc2FeAs (PBE-GGA, Alexandria).

Output
As for the symmetry: P4/mmm (123). The formation energy comes out at -0.553 eV/atom.

```
Sc2FeAs
1.0
4.425 0.000 0.000
0.000 4.425 0.000
0.000 0.000 3.528
Sc Fe As
2 1 1
Cartesian
0.000 2.213 0.000 Sc
2.213 0.000 0.000 Sc
0.000 0.000 1.764 Fe
2.213 2.213 1.764 As
```